The following is a PBE calculation of a relaxed structure of HgAs3Cl, from Alexandria via LeMat-Bulk.

a = 4.9695 Å, b = 4.9695 Å, c = 4.9695 Å
α = 90.00°, β = 90.00°, γ = 90.00°
Fractional coordinates of all 5 atoms:
Cl (0.0000, 0.0000, 0.0000)
As (0.0000, 0.5000, 0.0000)
As (0.5000, 0.0000, 0.0000)
As (0.0000, 0.0000, 0.5000)
Hg (0.5000, 0.5000, 0.5000)

Output
* uncorrected energy: -2.17 eV per atom
* spin magnetization: 0.0 μB/f.u.
* relative energy among the computed polymorphs: 0.000 eV/atom
* uncorrected formation energy: 1.051 eV per atom

---

The following is a PBE calculation of a relaxed structure of NpTe2Br2, from Alexandria via LeMat-Bulk.

a = 7.3368 Å, b = 7.7895 Å, c = 7.7920 Å
α = 82.10°, β = 61.91°, γ = 73.02°
Site moments in Bohr magnetons follow the coordinates.
Fractional coordinates of all 10 atoms:
Br (0.0161, 0.7306, 0.4297)  -0.06
Br (0.5542, 0.2694, 0.4297)  -0.06
Br (0.9839, 0.2694, 0.5703)  -0.06
Br (0.4458, 0.7306, 0.5703)  -0.06
Te (0.9070, 0.8212, 0.0000)  -0.13
Te (0.0930, 0.1788, 0.0000)  -0.13
Te (0.3336, 0.3885, 0.0000)  -0.13
Te (0.6664, 0.6115, 0.0000)  -0.13
Np (0.8459, 0.5000, 0.3083)  3.53
Np (0.1541, 0.5000, 0.6917)  3.53

Output
* uncorrected energy: -5.32 eV per atom
* spin magnetization: 3.0 μB/f.u.
* uncorrected formation energy: -0.810 eV per atom

---

The following is a PBE calculation of a relaxed structure of PmY2Tm2Mg5, from Alexandria via LeMat-Bulk.

a = 5.0810 Å, b = 10.6135 Å, c = 10.6135 Å
α = 90.00°, β = 90.00°, γ = 90.00°
Fractional coordinates of all 20 atoms:
Mg (0.5000, 0.8013, 0.9261)
Mg (0.5000, 0.9261, 0.1987)
Mg (0.5000, 0.5739, 0.6987)
Mg (0.5000, 0.1987, 0.0739)
Mg (0.5000, 0.4261, 0.3013)
Mg (0.5000, 0.0000, 0.5000)
Mg (0.5000, 0.6987, 0.4261)
Mg (0.5000, 0.3013, 0.5739)
Mg (0.5000, 0.5000, 0.0000)
Mg (0.5000, 0.0739, 0.8013)
Pm (0.0000, 0.0000, 0.0000)
Pm (0.0000, 0.5000, 0.5000)
Y (0.0000, 0.6786, 0.1786)
Y (0.0000, 0.8214, 0.6786)
Y (0.0000, 0.3214, 0.8214)
Y (0.0000, 0.1786, 0.3214)
Tm (0.0000, 0.3827, 0.1173)
Tm (0.0000, 0.6173, 0.8827)
Tm (0.0000, 0.8827, 0.3827)
Tm (0.0000, 0.1173, 0.6173)

Output
* uncorrected energy: -3.39 eV per atom
* spin magnetization: 0.0 μB/f.u.
* formation energy from the elements: 0.073 eV per atom